Computed, not measured: a relaxed BaNbSn2Te crystal at the PBE level of DFT.

Geometry as POSCAR:
```
BaNbSn2Te
1.0
5.393 0.000 0.000
0.000 5.393 0.000
0.000 0.000 6.118
Ba Nb Sn Te
1 1 2 1
Cartesian
0.000 0.000 0.000
0.000 0.000 3.059
0.000 2.696 3.059
2.696 0.000 3.059
2.696 2.696 0.000
```

The calculation puts the electronic total energy at -0.164 Ha/atom. Its density of states at the Fermi level is 5.8 states/eV/cell. Its symmetry is P4/mmm, No. 123. For the total magnetic moment, the calculation gives 1.14 μB per formula unit. The value obtained for the uncorrected formation energy is 0.16 eV/atom.

Computed, not measured: a relaxed Ba2SrNb crystal at the PBE level of DFT.

Geometry as POSCAR:
```
Ba2SrNb
1.0
9.923 0.000 0.000
0.000 9.923 0.000
0.000 0.000 7.329
Ba Sr Nb
8 4 4
Cartesian
2.018 2.481 0.916
2.481 6.980 2.748
2.481 7.904 6.412
2.943 2.481 4.580
6.980 7.442 4.580
7.442 2.018 6.412
7.442 2.943 2.748
7.904 7.442 0.916
0.000 0.000 3.664
0.000 4.961 5.496
4.961 0.000 1.832
4.961 4.961 0.000
0.000 0.000 0.000
0.000 4.961 1.832
4.961 0.000 5.496
4.961 4.961 3.664
```

The relative energy among the computed polymorphs is 128 meV/atom. The calculation puts the electronic total energy at -0.110 Ha/atom. Its density of states at the Fermi level is 7.9 states/eV/cell. Its symmetry is I-42d, No. 122. For the total magnetic moment, the calculation gives 3.06 μB per formula unit.

Computed, not measured: a relaxed BaSr3Nb crystal at the PBE level of DFT.

Geometry as POSCAR:
```
BaSr3Nb
1.0
6.325 0.000 0.000
0.000 6.325 0.000
0.000 0.000 6.325
Ba Sr Nb
1 3 1
Cartesian
0.000 0.000 0.000
0.000 0.000 3.163
0.000 3.163 0.000
3.163 0.000 0.000
3.163 3.163 3.163
```

The relative energy among the computed polymorphs is 883 meV/atom. The calculation puts the electronic total energy at -0.068 Ha/atom. Its density of states at the Fermi level is 1.9 states/eV/cell. Its symmetry is Pm-3m, No. 221. For the total magnetic moment, the calculation gives 1.00 μB per formula unit.